[1]
Here is a geometry-optimized KAuSe2Br structure from Alexandria. Energies are from PBE-GGA.

Cell and atoms, written as CIF:
```
data_KAuSe2Br
_chemical_formula_sum 'K1 Au1 Se2 Br1'
_symmetry_space_group_name_H-M 'P 4/m m m'
_symmetry_Int_Tables_number 123
_symmetry_space_group_name_Hall '-P 4 2'
_cell_length_a 6.093
_cell_length_b 6.093
_cell_length_c 5.892
_cell_angle_alpha 90.00
_cell_angle_beta 90.00
_cell_angle_gamma 90.00
loop_
_atom_site_label
_atom_site_type_symbol
_atom_site_fract_x
_atom_site_fract_y
_atom_site_fract_z
K1 K 0.000 0.000 0.000
Au1 Au 0.500 0.500 0.500
Se1 Se 0.000 0.500 0.000
Br1 Br 0.000 0.000 0.500
```

Computed properties:
energy relative to the elements, uncorrected	837	meV per atom
total magnetic moment	3.05	μB/f.u.
polymorph energy (0 for the lowest one)	105.0	kJ per mole of atoms

[2]
Here is a geometry-optimized KSiAuBr2 structure from Alexandria. Energies are from PBE-GGA.

Cell and atoms, written as CIF:
```
data_KSiAuBr2
_chemical_formula_sum 'K1 Si1 Au1 Br2'
_symmetry_space_group_name_H-M 'P 4/m m m'
_symmetry_Int_Tables_number 123
_symmetry_space_group_name_Hall '-P 4 2'
_cell_length_a 5.759
_cell_length_b 5.759
_cell_length_c 5.753
_cell_angle_alpha 90.00
_cell_angle_beta 90.00
_cell_angle_gamma 90.00
loop_
_atom_site_label
_atom_site_type_symbol
_atom_site_fract_x
_atom_site_fract_y
_atom_site_fract_z
K1 K 0.000 0.000 0.000
Si1 Si 0.500 0.500 0.500
Au1 Au 0.000 0.000 0.500
Br1 Br 0.000 0.500 0.000
```

Computed properties:
energy relative to the elements, uncorrected	627	meV per atom
total magnetic moment	0.00	μB/f.u.

[3]
Here is a geometry-optimized K2SrAu2Br6 structure from Alexandria. Energies are from PBE-GGA.

Cell and atoms, written as CIF:
```
data_K2SrAu2Br6
_chemical_formula_sum 'K4 Sr2 Au4 Br12'
_symmetry_space_group_name_H-M 'C 1 2/m 1'
_symmetry_Int_Tables_number 12
_cell_length_a 14.394
_cell_length_b 8.090
_cell_length_c 8.102
_cell_angle_alpha 90.00
_cell_angle_beta 121.56
_cell_angle_gamma 90.00
loop_
_symmetry_equiv_pos_as_xyz
'x,y,z'
'-x,-y,-z'
'-x,y,-z'
'x,-y,z'
'x+1/2,y+1/2,z'
'-x+1/2,-y+1/2,-z'
'-x+1/2,y+1/2,-z'
'x+1/2,-y+1/2,z'
loop_
_atom_site_label
_atom_site_type_symbol
_atom_site_fract_x
_atom_site_fract_y
_atom_site_fract_z
K1 K 0.243 0.000 0.197
Sr1 Sr 0.000 0.000 0.500
Au1 Au 0.055 0.500 0.214
Br1 Br 0.077 0.250 0.828
Br2 Br 0.237 0.000 0.597
```

Computed properties:
energy relative to the elements, uncorrected	-1165	meV per atom
total magnetic moment	0.00	μB/f.u.

[4]
Here is a geometry-optimized K2TbAuBr6 structure from Alexandria. Energies are from PBE-GGA.

Cell and atoms, written as CIF:
```
data_K2TbAuBr6
_chemical_formula_sum 'K2 Tb1 Au1 Br6'
_symmetry_space_group_name_H-M 'P 1'
_symmetry_Int_Tables_number 1
_cell_length_a 7.834
_cell_length_b 8.213
_cell_length_c 8.487
_cell_angle_alpha 61.36
_cell_angle_beta 65.36
_cell_angle_gamma 61.56
loop_
_symmetry_equiv_pos_as_xyz
'x,y,z'
loop_
_atom_site_label
_atom_site_type_symbol
_atom_site_fract_x
_atom_site_fract_y
_atom_site_fract_z
K1 K 0.000 0.000 0.000
K2 K 0.458 0.475 0.576
Tb1 Tb 0.788 0.775 0.644
Au1 Au 0.224 0.033 0.373
Br1 Br 0.035 0.679 0.850
Br2 Br 0.099 0.612 0.384
Br3 Br 0.448 0.027 0.806
Br4 Br 0.583 0.891 0.349
Br5 Br 0.674 0.450 0.850
Br6 Br 0.872 0.155 0.375
```

Computed properties:
energy relative to the elements, uncorrected	-1464	meV per atom
total magnetic moment	0.00	μB/f.u.

[5]
Here is a geometry-optimized KTlAu2Br8 structure from Alexandria. Energies are from PBE-GGA.

Cell and atoms, written as CIF:
```
data_KTlAu2Br8
_chemical_formula_sum 'K2 Tl2 Au4 Br16'
_symmetry_space_group_name_H-M 'I -4'
_symmetry_Int_Tables_number 82
_cell_length_a 7.821
_cell_length_b 7.821
_cell_length_c 13.906
_cell_angle_alpha 90.00
_cell_angle_beta 90.00
_cell_angle_gamma 90.00
loop_
_symmetry_equiv_pos_as_xyz
'x,y,z'
'y,-x,-z'
'-x,-y,z'
'-y,x,-z'
'x+1/2,y+1/2,z+1/2'
'y+1/2,-x+1/2,-z+1/2'
'-x+1/2,-y+1/2,z+1/2'
'-y+1/2,x+1/2,-z+1/2'
loop_
_atom_site_label
_atom_site_type_symbol
_atom_site_fract_x
_atom_site_fract_y
_atom_site_fract_z
K1 K 0.000 0.000 0.000
Tl1 Tl 0.000 0.500 0.750
Au1 Au 0.000 0.000 0.500
Au2 Au 0.000 0.500 0.250
Br1 Br 0.064 0.311 0.513
Br2 Br 0.066 0.810 0.238
```

Computed properties:
energy relative to the elements, uncorrected	-512	meV per atom
total magnetic moment	0.00	μB/f.u.

[6]
Here is a geometry-optimized KTl2AuBr structure from Alexandria. Energies are from PBE-GGA.

Cell and atoms, written as CIF:
```
data_KTl2AuBr
_chemical_formula_sum 'K1 Tl2 Au1 Br1'
_symmetry_space_group_name_H-M 'P 4/m m m'
_symmetry_Int_Tables_number 123
_symmetry_space_group_name_Hall '-P 4 2'
_cell_length_a 6.607
_cell_length_b 6.607
_cell_length_c 5.625
_cell_angle_alpha 90.00
_cell_angle_beta 90.00
_cell_angle_gamma 90.00
loop_
_atom_site_label
_atom_site_type_symbol
_atom_site_fract_x
_atom_site_fract_y
_atom_site_fract_z
K1 K 0.000 0.000 0.000
Tl1 Tl 0.000 0.500 0.000
Au1 Au 0.000 0.000 0.500
Br1 Br 0.500 0.500 0.500
```

Computed properties:
energy relative to the elements, uncorrected	282	meV per atom
total magnetic moment	0.00	μB/f.u.